An optimized crystal structure of Ta3Be2Ru5, computed with PBE-GGA.

a = 9.4032 Å, b = 9.4032 Å, c = 3.1419 Å
α = 90.00°, β = 90.00°, γ = 90.00°
Last column: nearest neighbours and their distance in Å.
Space group P4/mbm (No. 127)
Unique sites:
Ta  0.0000  0.0000  0.0000  8 Ru 2.63
Ta  0.1742  0.3258  0.0000  3 Be 2.72-2.82, 10 Ru 2.80-3.01
Be  0.1209  0.6209  0.0000  6 Ru 2.25-2.27
Ru  0.0000  0.5000  0.5000  4 Be 2.25
Ru  0.0740  0.7888  0.5000  2 Be 2.27

The formation enthalpy at 0 K comes out at -0.453 eV/atom. Its total energy is -9.392 eV/atom.